Here is an optimized crystal structure of SmThSc from the Alexandria database. Energies are from PBE-GGA.

Cell: 4.484 4.484 9.143 Å, 90.00 90.00 90.00°
Atoms (fractional coordinates):
1 Sm 0.250 0.750 0.000
2 Sm 0.750 0.250 0.000
3 Th 0.250 0.250 0.389
4 Th 0.750 0.750 0.611
5 Sc 0.250 0.250 0.732
6 Sc 0.750 0.750 0.268

## Properties
V	30.63	A^3/atom
VASP energy	-5.82	eV per atom
D(E_F)	8.96	states/eV per cell
E_form	0.33	eV per atom
polymorph energy (0 for the lowest one)	280	meV/atom

Here is an optimized crystal structure of Sm6ThSc2 from the Alexandria database. Energies are from PBE-GGA.

Cell: 7.838 7.838 8.013 Å, 106.92 106.92 37.27°
Atoms (fractional coordinates):
1 Sm 0.054 0.054 0.321
2 Sm 0.280 0.280 0.681
3 Sm 0.387 0.387 0.325
4 Sm 0.613 0.613 0.675
5 Sm 0.720 0.720 0.319
6 Sm 0.946 0.946 0.679
7 Th 0.500 0.500 0.000
8 Sc 0.166 0.166 0.999
9 Sc 0.834 0.834 0.001

## Properties
V	31.52	A^3/atom
VASP energy	-5.32	eV per atom
D(E_F)	14.37	states/eV per cell
E_form	0.05	eV per atom

Here is an optimized crystal structure of Sm10ThSc4 from the Alexandria database. Energies are from PBE-GGA.

Cell: 8.990 8.990 8.990 Å, 100.13 100.13 130.41°
Atoms (fractional coordinates):
1 Sm 0.032 0.673 0.132
2 Sm 0.100 0.968 0.641
3 Sm 0.250 0.750 0.500
4 Sm 0.327 0.459 0.359
5 Sm 0.459 0.100 0.132
6 Sm 0.541 0.900 0.868
7 Sm 0.673 0.541 0.641
8 Sm 0.750 0.250 0.500
9 Sm 0.900 0.032 0.359
10 Sm 0.968 0.327 0.868
11 Th 0.000 0.000 0.000
12 Sc 0.300 0.431 0.731
13 Sc 0.431 0.700 0.131
14 Sc 0.569 0.300 0.869
15 Sc 0.700 0.569 0.269

## Properties
V	33.48	A^3/atom
VASP energy	-4.76	eV per atom
D(E_F)	17.56	states/eV per cell
E_form	0.57	eV per atom

Here is an optimized crystal structure of SmThSc3 from the Alexandria database. Energies are from PBE-GGA.

Cell: 8.690 8.690 10.699 Å, 106.96 106.96 21.56°
Atoms (fractional coordinates):
1 Sm 0.102 0.102 0.056
2 Sm 0.898 0.898 0.944
3 Th 0.396 0.396 0.452
4 Th 0.604 0.604 0.548
5 Sc 0.008 0.008 0.734
6 Sc 0.199 0.199 0.368
7 Sc 0.303 0.303 0.135
8 Sc 0.697 0.697 0.865
9 Sc 0.801 0.801 0.632
10 Sc 0.992 0.992 0.266

## Properties
V	28.35	A^3/atom
VASP energy	-6.01	eV per atom
D(E_F)	17.65	states/eV per cell
E_form	0.22	eV per atom
polymorph energy (0 for the lowest one)	0	meV/atom

Here is an optimized crystal structure of SmTh4Sc6 from the Alexandria database. Energies are from PBE-GGA.

Cell: 8.629 8.629 5.121 Å, 90.00 90.00 120.00°
Atoms (fractional coordinates):
1 Sm 0.000 0.000 0.000
2 Th 0.333 0.667 0.000
3 Th 0.394 0.197 0.500
4 Th 0.803 0.197 0.500
5 Th 0.803 0.606 0.500
6 Sc 0.213 0.425 0.500
7 Sc 0.213 0.787 0.500
8 Sc 0.539 0.077 0.000
9 Sc 0.539 0.461 0.000
10 Sc 0.575 0.787 0.500
11 Sc 0.923 0.461 0.000

## Properties
V	30.02	A^3/atom
VASP energy	-6.14	eV per atom
D(E_F)	18.70	states/eV per cell
E_form	0.44	eV per atom

Here is an optimized crystal structure of SmThSc from the Alexandria database. Energies are from PBE-GGA.

Cell: 3.523 3.523 8.418 Å, 90.00 90.00 120.00°
Atoms (fractional coordinates):
1 Sm 0.000 0.000 0.000
2 Th 0.333 0.667 0.654
3 Sc 0.667 0.333 0.338

## Properties
V	30.16	A^3/atom
VASP energy	-6.10	eV per atom
D(E_F)	4.85	states/eV per cell
E_form	0.06	eV per atom
polymorph energy (0 for the lowest one)	6	meV/atom

Here is an optimized crystal structure of Sm3Th2Sc from the Alexandria database. Energies are from PBE-GGA.

Cell: 6.590 6.590 11.963 Å, 106.68 106.68 50.30°
Atoms (fractional coordinates):
1 Sm 0.081 0.081 0.413
2 Sm 0.331 0.331 0.670
3 Sm 0.413 0.413 0.083
4 Sm 0.587 0.587 0.917
5 Sm 0.669 0.669 0.330
6 Sm 0.919 0.919 0.587
7 Th 0.127 0.127 0.122
8 Th 0.375 0.375 0.371
9 Th 0.625 0.625 0.629
10 Th 0.873 0.873 0.878
11 Sc 0.167 0.167 0.834
12 Sc 0.833 0.833 0.166

## Properties
V	31.59	A^3/atom
VASP energy	-5.81	eV per atom
D(E_F)	16.79	states/eV per cell
E_form	0.08	eV per atom
polymorph energy (0 for the lowest one)	29	meV/atom

Here is an optimized crystal structure of SmThSc2 from the Alexandria database. Energies are from PBE-GGA.

Cell: 5.449 5.449 5.449 Å, 60.00 60.00 60.00°
Atoms (fractional coordinates):
1 Sm 0.000 0.000 0.000
2 Th 0.500 0.500 0.500
3 Sc 0.250 0.250 0.250
4 Sc 0.750 0.750 0.750

## Properties
V	28.60	A^3/atom
VASP energy	-6.14	eV per atom
D(E_F)	6.88	states/eV per cell
E_form	0.07	eV per atom
polymorph energy (0 for the lowest one)	41	meV/atom

> Number 6 is which compound?

SmThSc

> Look up the V of the fifth one.

30.02 A^3/atom